This record from Alexandria describes an optimized crystal structure of PrIn3Pt. The functional is GGA-PBEsol. Values from VASP.

The structure in Quantum ESPRESSO input format:
```
&SYSTEM
  ibrav = 0, nat = 40, ntyp = 3
/
ATOMIC_SPECIES
Pr 140.91 Pr.upf
In 114.82 In.upf
Pt 195.08 Pt.upf
ATOMIC_POSITIONS crystal
Pr 0.0000 0.0000 0.0000
Pr 0.5000 0.5000 0.5000
Pr 0.2500 0.0000 0.5000
Pr 0.7500 0.0000 0.5000
Pr 0.5000 0.2500 0.0000
Pr 0.5000 0.7500 0.0000
Pr 0.0000 0.5000 0.2500
Pr 0.0000 0.5000 0.7500
In 0.0000 0.1524 0.3186
In 0.0000 0.8476 0.6814
In 0.0000 0.8476 0.3186
In 0.0000 0.1524 0.6814
In 0.3186 0.0000 0.1524
In 0.6524 0.5000 0.1814
In 0.6814 0.0000 0.8476
In 0.3476 0.5000 0.8186
In 0.3186 0.0000 0.8476
In 0.3476 0.5000 0.1814
In 0.6814 0.0000 0.1524
In 0.6524 0.5000 0.8186
In 0.1524 0.3186 0.0000
In 0.5000 0.8186 0.3476
In 0.8476 0.6814 0.0000
In 0.5000 0.1814 0.6524
In 0.1524 0.6814 0.0000
In 0.5000 0.1814 0.3476
In 0.8476 0.3186 0.0000
In 0.5000 0.8186 0.6524
In 0.1814 0.6524 0.5000
In 0.8186 0.3476 0.5000
In 0.1814 0.3476 0.5000
In 0.8186 0.6524 0.5000
Pt 0.2500 0.2500 0.2500
Pt 0.7500 0.7500 0.7500
Pt 0.7500 0.7500 0.2500
Pt 0.7500 0.2500 0.7500
Pt 0.2500 0.2500 0.7500
Pt 0.2500 0.7500 0.2500
Pt 0.2500 0.7500 0.7500
Pt 0.7500 0.2500 0.2500
CELL_PARAMETERS angstrom
-8.2432 -3.9347 -3.3153
4.7355 -3.3536 -7.7944
2.0120 -8.2277 4.7624
```

Values from the calculation:
DOS at the Fermi energy (states/eV per atom): 0.3365
Mass density (g cm⁻³): 9.9
Calculated volume (Å³/f.u.): 114.69
Total magnetization (μB/cell): 0.00
ΔE_f (eV/atom): -0.6398

This record from Alexandria describes an optimized crystal structure of Ba6Na2V2Sb2O17. The functional is GGA-PBEsol. Values from VASP.

The structure in Quantum ESPRESSO input format:
```
&SYSTEM
  ibrav = 0, nat = 58, ntyp = 5
/
ATOMIC_SPECIES
Ba 137.33 Ba.upf
Na 22.99 Na.upf
V 50.94 V.upf
Sb 121.76 Sb.upf
O 16.00 O.upf
ATOMIC_POSITIONS crystal
Ba 0.3333 0.6667 0.3236
Ba 0.6667 0.3333 0.6764
Ba 0.6667 0.3333 0.8236
Ba 0.3333 0.6667 0.1764
Ba 0.0000 0.0000 0.5000
Ba 0.0000 0.0000 0.0000
Ba 0.3333 0.6667 0.9090
Ba 0.6667 0.3333 0.0910
Ba 0.6667 0.3333 0.4090
Ba 0.3333 0.6667 0.5910
Ba 0.0000 0.0000 0.2500
Ba 0.0000 0.0000 0.7500
Na 0.0000 0.0000 0.3768
Na 0.0000 0.0000 0.6232
Na 0.0000 0.0000 0.8768
Na 0.0000 0.0000 0.1232
V 0.3333 0.6667 0.4484
V 0.6667 0.3333 0.5516
V 0.6667 0.3333 0.9484
V 0.3333 0.6667 0.0516
Sb 0.3333 0.6667 0.7978
Sb 0.6667 0.3333 0.2022
Sb 0.6667 0.3333 0.2978
Sb 0.3333 0.6667 0.7022
O 0.3333 0.6667 0.9950
O 0.6667 0.3333 0.0050
O 0.6667 0.3333 0.4950
O 0.3333 0.6667 0.5050
O 0.6575 0.8288 0.8308
O 0.3425 0.1712 0.1692
O 0.1712 0.3425 0.8308
O 0.3425 0.1712 0.3308
O 0.8288 0.6575 0.1692
O 0.6575 0.8288 0.6692
O 0.1712 0.8288 0.8308
O 0.8288 0.6575 0.3308
O 0.8288 0.1712 0.1692
O 0.1712 0.3425 0.6692
O 0.8288 0.1712 0.3308
O 0.1712 0.8288 0.6692
O 0.9665 0.4833 0.2500
O 0.0335 0.5167 0.7500
O 0.5167 0.0335 0.2500
O 0.4833 0.9665 0.7500
O 0.5167 0.4833 0.2500
O 0.4833 0.5167 0.7500
O 0.6488 0.8244 0.4281
O 0.3512 0.1756 0.5719
O 0.1756 0.3512 0.4281
O 0.3512 0.1756 0.9281
O 0.8244 0.6488 0.5719
O 0.6488 0.8244 0.0719
O 0.1756 0.8244 0.4281
O 0.8244 0.6488 0.9281
O 0.8244 0.1756 0.5719
O 0.1756 0.3512 0.0719
O 0.8244 0.1756 0.9281
O 0.1756 0.8244 0.0719
CELL_PARAMETERS angstrom
-5.8558 0.4197 -0.4939
3.1131 -2.7968 -4.1469
-3.1166 -25.7784 15.0459
```

Values from the calculation:
DOS at the Fermi energy (states/eV per atom): 0.0000
Mass density (g cm⁻³): 5.5
Calculated volume (Å³/f.u.): 451.06
ΔE_f (raw) (eV per atom): -2.460
Total magnetization (μB/cell): 0.00

This record from Alexandria describes an optimized crystal structure of CrCo3Bi. The functional is GGA-PBEsol. Values from VASP.

The structure in Quantum ESPRESSO input format:
```
&SYSTEM
  ibrav = 0, nat = 5, ntyp = 3
/
ATOMIC_SPECIES
Cr 52.00 Cr.upf
Co 58.93 Co.upf
Bi 208.98 Bi.upf
ATOMIC_POSITIONS crystal
Cr 0.0000 0.0000 0.0000
Co 0.0000 0.5000 0.0000
Co 0.0000 0.0000 0.5000
Co 0.5000 0.0000 0.0000
Bi 0.5000 0.5000 0.5000
CELL_PARAMETERS angstrom
-3.1407 -2.5470 1.2313
0.0917 -1.9304 -3.7593
2.8275 -2.7665 1.4896
```

Values from the calculation:
DOS at the Fermi energy (states/eV per atom): 1.5911
Mass density (g cm⁻³): 9.6
Calculated volume (Å³/f.u.): 75.52
Total magnetization (μB/cell): 0.09
ΔE_f (eV/atom): 1.0201

This record from Alexandria describes an optimized crystal structure of Be2FeOs2. The functional is GGA-PBEsol. Values from VASP.

The structure in Quantum ESPRESSO input format:
```
&SYSTEM
  ibrav = 0, nat = 10, ntyp = 3
/
ATOMIC_SPECIES
Be 9.01 Be.upf
Os 190.23 Os.upf
Fe 55.84 Fe.upf
ATOMIC_POSITIONS crystal
Be 0.0000 0.3761 0.8761
Be 0.0000 0.8761 0.6239
Be 0.0000 0.6239 0.1239
Be 0.0000 0.1239 0.3761
Os 0.5000 0.1734 0.6734
Os 0.5000 0.6734 0.8266
Os 0.5000 0.8266 0.3266
Os 0.5000 0.3266 0.1734
Fe 0.0000 0.0000 0.0000
Fe 0.0000 0.5000 0.5000
CELL_PARAMETERS angstrom
-1.0755 2.8233 -0.1479
-5.2411 -2.0899 -1.7806
-1.7642 -0.3768 5.6350
```

Values from the calculation:
DOS at the Fermi energy (states/eV per atom): 0.8799
Mass density (g cm⁻³): 14.2
Calculated volume (Å³/f.u.): 52.95
Total magnetization (μB/cell): 5.04
ΔE_f (eV/atom): -0.0664

This record from Alexandria describes an optimized crystal structure of Sc2As3. The functional is GGA-PBEsol. Values from VASP.

The structure in Quantum ESPRESSO input format:
```
&SYSTEM
  ibrav = 0, nat = 5, ntyp = 2
/
ATOMIC_SPECIES
As 74.92 As.upf
Sc 44.96 Sc.upf
ATOMIC_POSITIONS crystal
As 0.0000 0.0000 0.0000
As 0.1993 0.1993 0.4022
As 0.8007 0.8007 0.5978
Sc 0.6069 0.6069 0.1793
Sc 0.3931 0.3931 0.8207
CELL_PARAMETERS angstrom
3.6269 0.0000 0.0000
1.8134 3.1410 0.0000
1.8134 1.0470 8.7872
```

Values from the calculation:
DOS at the Fermi energy (states/eV per atom): 0.7616
Mass density (g cm⁻³): 5.2
Calculated volume (Å³/f.u.): 100.10
Total magnetization (μB/cell): 0.00
ΔE_f (eV/atom): -0.7125

This record from Alexandria describes an optimized crystal structure of BeCr2SnPb. The functional is GGA-PBEsol. Values from VASP.

The structure in Quantum ESPRESSO input format:
```
&SYSTEM
  ibrav = 0, nat = 5, ntyp = 4
/
ATOMIC_SPECIES
Pb 207.20 Pb.upf
Cr 52.00 Cr.upf
Sn 118.71 Sn.upf
Be 9.01 Be.upf
ATOMIC_POSITIONS crystal
Pb 0.5000 0.5000 0.5000
Cr 0.0000 0.0000 0.5000
Cr 0.0000 0.5000 0.0000
Sn 0.5000 0.0000 0.0000
Be 0.0000 0.0000 0.0000
CELL_PARAMETERS angstrom
4.4609 0.0000 0.0000
0.0000 4.4887 0.0000
0.0000 0.0000 4.4887
```

Values from the calculation:
DOS at the Fermi energy (states/eV per atom): 0.7270
Mass density (g cm⁻³): 8.1
Calculated volume (Å³/f.u.): 89.88
Total magnetization (μB/cell): 6.25
ΔE_f (eV/atom): 0.7817

This record from Alexandria describes an optimized crystal structure of RbMnAlOs2. The functional is GGA-PBEsol. Values from VASP.

The structure in Quantum ESPRESSO input format:
```
&SYSTEM
  ibrav = 0, nat = 5, ntyp = 4
/
ATOMIC_SPECIES
Mn 54.94 Mn.upf
Os 190.23 Os.upf
Al 26.98 Al.upf
Rb 85.47 Rb.upf
ATOMIC_POSITIONS crystal
Mn 0.0000 0.0000 0.0000
Os 0.0000 0.5000 0.0000
Os 0.5000 0.0000 0.0000
Al 0.0000 0.0000 0.5000
Rb 0.5000 0.5000 0.5000
CELL_PARAMETERS angstrom
-0.3364 3.6371 2.6591
-0.7208 -2.6756 3.5684
4.6454 -0.1656 0.8142
```

Values from the calculation:
DOS at the Fermi energy (states/eV per atom): 1.2417
Mass density (g cm⁻³): 9.4
Calculated volume (Å³/f.u.): 96.33
Total magnetization (μB/cell): 0.66
ΔE_f (eV/atom): 1.4006

This record from Alexandria describes an optimized crystal structure of Te2WN2. The functional is GGA-PBEsol. Values from VASP.

The structure in Quantum ESPRESSO input format:
```
&SYSTEM
  ibrav = 0, nat = 5, ntyp = 3
/
ATOMIC_SPECIES
Te 127.60 Te.upf
W 183.84 W.upf
N 14.01 N.upf
ATOMIC_POSITIONS crystal
Te 0.5000 0.5000 0.5000
Te 0.0000 0.0000 0.5000
W 0.0000 0.0000 0.0000
N 0.0000 0.5000 0.0000
N 0.5000 0.0000 0.0000
CELL_PARAMETERS angstrom
-1.5189 -3.1890 -1.9028
3.0824 -2.2291 1.2755
-2.9544 -1.3966 4.6991
```

Values from the calculation:
DOS at the Fermi energy (states/eV per atom): 0.6064
Mass density (g cm⁻³): 8.4
Calculated volume (Å³/f.u.): 92.13
ΔE_f (raw) (eV per atom): 0.551
Total magnetization (μB/cell): 0.64
Offset from the most stable computed form (kJ per mole of atoms): 0.0

This record from Alexandria describes an optimized crystal structure of KSr2. The functional is GGA-PBEsol. Values from VASP.

The structure in Quantum ESPRESSO input format:
```
&SYSTEM
  ibrav = 0, nat = 6, ntyp = 2
/
ATOMIC_SPECIES
Sr 87.62 Sr.upf
K 39.10 K.upf
ATOMIC_POSITIONS crystal
Sr 0.3329 0.6658 0.6633
Sr 0.3864 0.7727 0.2854
Sr 0.0548 0.1095 0.6152
Sr 0.7281 0.4561 0.9379
K 0.0013 0.0025 0.0000
K 0.6633 0.3266 0.3315
CELL_PARAMETERS angstrom
4.2402 0.0000 0.0000
-2.1201 8.0405 -0.0071
0.0000 -2.8471 9.9430
```

Values from the calculation:
DOS at the Fermi energy (states/eV per atom): 1.0325
Mass density (g cm⁻³): 2.1
Calculated volume (Å³/f.u.): 169.45
Total magnetization (μB/cell): 0.00
ΔE_f (eV/atom): 0.0909

This record from Alexandria describes an optimized crystal structure of AsP2Ir. The functional is GGA-PBEsol. Values from VASP.

The structure in Quantum ESPRESSO input format:
```
&SYSTEM
  ibrav = 0, nat = 4, ntyp = 3
/
ATOMIC_SPECIES
P 30.97 P.upf
As 74.92 As.upf
Ir 192.22 Ir.upf
ATOMIC_POSITIONS crystal
P 0.0000 0.0000 0.0057
P 0.5000 0.5000 0.7947
As 0.0000 0.0000 0.4694
Ir 0.5000 0.5000 0.2302
CELL_PARAMETERS angstrom
-1.6255 0.4855 -2.2391
2.6318 -0.8839 -0.4285
-2.8052 -8.4511 0.2040
```

Values from the calculation:
DOS at the Fermi energy (states/eV per atom): 0.4264
Mass density (g cm⁻³): 8.8
Calculated volume (Å³/f.u.): 61.85
Total magnetization (μB/cell): 0.00
ΔE_f (eV/atom): 0.3673

This record from Alexandria describes an optimized crystal structure of Li2CaZn. The functional is GGA-PBEsol. Values from VASP.

The structure in Quantum ESPRESSO input format:
```
&SYSTEM
  ibrav = 0, nat = 4, ntyp = 3
/
ATOMIC_SPECIES
Zn 65.41 Zn.upf
Ca 40.08 Ca.upf
Li 6.94 Li.upf
ATOMIC_POSITIONS crystal
Zn 0.5000 0.5000 0.0000
Ca 0.0000 0.5000 0.5000
Li 0.6906 0.0000 0.7947
Li 0.3094 0.0000 0.2053
CELL_PARAMETERS angstrom
3.4656 0.0000 0.0153
0.0000 4.9513 0.0000
-0.6048 0.0000 5.2229
```

Values from the calculation:
DOS at the Fermi energy (states/eV per atom): 0.6023
Mass density (g cm⁻³): 2.2
Calculated volume (Å³/f.u.): 89.67
Total magnetization (μB/cell): 0.00
ΔE_f (eV/atom): -0.0041

This record from Alexandria describes an optimized crystal structure of La2Sc. The functional is GGA-PBEsol. Values from VASP.

The structure in Quantum ESPRESSO input format:
```
&SYSTEM
  ibrav = 0, nat = 6, ntyp = 2
/
ATOMIC_SPECIES
Sc 44.96 Sc.upf
La 138.91 La.upf
ATOMIC_POSITIONS crystal
Sc 0.2277 0.5000 0.4554
Sc 0.8822 0.5000 0.7644
La 0.9990 0.0000 0.9979
La 0.6709 0.0000 0.3419
La 0.3344 0.0000 0.6688
La 0.5525 0.5000 0.1049
CELL_PARAMETERS angstrom
3.5321 0.0000 0.0000
0.0000 5.6680 0.0000
-1.7660 0.0000 9.1148
```

Values from the calculation:
DOS at the Fermi energy (states/eV per atom): 1.7776
Mass density (g cm⁻³): 5.9
Calculated volume (Å³/f.u.): 91.24
Total magnetization (μB/cell): 0.00
Offset from the most stable computed form (kJ per mole of atoms): 4.4
ΔE_f (eV/atom): 0.0875

Record-wise VASP energy values, in eV per cell: -194.36, -409.33, -32.64, -83.46, -32.09, -28.83, -32.31, -35.16, -9.08, -25.04, -7.66, -34.07